Material: Ba2GeS4
Method: DFT, SCAN
State: single point on PBEsol structure

Results
N(E_F): 0.0000 states/eV/atom
E_form (uncorrected): -1652 meV per atom
size of the total moment: 0.000 μB per cell

Structure (POSCAR):
```
Ba2GeS4
1.0
-3.499 -4.889 3.095
0.665 -5.086 -7.283
10.523 -4.801 4.314
Ba Ge S
8 4 16
Direct
0.250 0.623 0.423
0.750 0.377 0.577
0.250 0.123 0.077
0.750 0.877 0.923
0.250 0.984 0.669
0.750 0.016 0.331
0.250 0.484 0.831
0.750 0.516 0.169
0.250 0.226 0.424
0.750 0.774 0.576
0.250 0.726 0.076
0.750 0.274 0.924
0.250 0.981 0.406
0.750 0.019 0.594
0.250 0.481 0.094
0.750 0.519 0.906
0.250 0.316 0.592
0.750 0.684 0.408
0.250 0.816 0.908
0.750 0.184 0.092
0.983 0.326 0.352
0.483 0.674 0.648
0.517 0.826 0.148
0.017 0.174 0.852
0.017 0.674 0.648
0.517 0.326 0.352
0.483 0.174 0.852
0.983 0.826 0.148
```